# 1
First-principles (PBE) data for a relaxed structure of Rb2SbOsBr6, as listed in Alexandria.

Unit cell a=7.7859 b=7.7859 c=7.7859 alpha=120.36 beta=120.36 gamma=89.37
With the nearest neighbours (Å) after each atom.
Element x y z (fractional)
Rb1 0.2500 0.7500 0.5000  12 Br 3.88-3.90
Rb2 0.7500 0.2500 0.5000  12 Br 3.88-3.90
Sb1 0.0000 0.0000 0.0000  6 Br 2.91-2.96
Os1 0.5000 0.5000 0.0000  6 Br 2.56-2.57
Br1 0.2658 0.2658 0.5316  1 Os 2.56
Br2 0.2658 0.7342 0.0000  1 Os 2.56
Br3 0.2676 0.2676 0.0000  1 Os 2.57
Br4 0.7324 0.7324 0.0000  1 Os 2.57
Br5 0.7342 0.2658 0.0000  1 Os 2.56
Br6 0.7342 0.7342 0.4684  1 Os 2.56

---

# 2
First-principles (PBE) data for a relaxed structure of RbScOsBr2, as listed in Alexandria.

Unit cell a=5.5764 b=5.5764 c=5.0340 alpha=90.00 beta=90.00 gamma=90.00
With the nearest neighbours (Å) after each atom.
Element x y z (fractional)
Rb1 0.0000 0.0000 0.0000  8 Br 3.76, 4 Os 3.94
Sc1 0.5000 0.5000 0.5000  2 Os 2.52, 4 Br 2.79
Os1 0.5000 0.5000 0.0000  2 Sc 2.52
Br1 0.0000 0.5000 0.5000  2 Sc 2.79
Br2 0.5000 0.0000 0.5000  2 Sc 2.79

---

# 3
First-principles (PBE) data for a relaxed structure of RbOsSe2Br, as listed in Alexandria.

Unit cell a=6.2121 b=6.2121 c=6.1616 alpha=90.00 beta=90.00 gamma=90.00
With the nearest neighbours (Å) after each atom.
Element x y z (fractional)
Rb1 0.0000 0.0000 0.0000  2 Br 3.08, 4 Se 3.11
Os1 0.5000 0.5000 0.5000  8 Se 4.37, 4 Br 4.39
Se1 0.0000 0.5000 0.0000  2 Rb 3.11
Se2 0.5000 0.0000 0.0000  2 Rb 3.11
Br1 0.0000 0.0000 0.5000  2 Rb 3.08

Summary:
excess energy over the best structure of this formula in the dataset: 2039 meV/atom

---

These records have VASP energy values of -3.336, -4.522, -2.298 eV/atom, in the order they appear.
These records have energy relative to the elements, uncorrected values of -6.04, -0.74, 9.35 eV/f.u., in the order they appear.